[1]
InAgO2 | GGA-PBE | relaxed

Cell: 3.3442 3.3442 12.7837 Å, 90.00 90.00 120.00°
Last column: nearest neighbours and their distance in Å.
Atoms (fractional coordinates):
In1 0.0000 0.0000 0.0000  6 O 2.21
In2 0.0000 0.0000 0.5000  6 O 2.21
Ag1 0.3333 0.6667 0.2500  2 O 2.11
Ag2 0.6667 0.3333 0.7500  2 O 2.11
O1 0.3333 0.6667 0.0846  1 Ag 2.11, 3 In 2.21
O2 0.3333 0.6667 0.4154  1 Ag 2.11, 3 In 2.21
O3 0.6667 0.3333 0.5846  1 Ag 2.11, 3 In 2.21
O4 0.6667 0.3333 0.9154  1 Ag 2.11, 3 In 2.21

Output
The raw total energy comes out at -4.9216 eV per atom. Its symmetry is P6_3/mmc (194).



[2]
ScPOsO2 | GGA-PBE | relaxed

Cell: 3.8126 3.8126 5.1359 Å, 90.00 90.00 90.00°
Last column: nearest neighbours and their distance in Å.
Atoms (fractional coordinates):
Sc1 0.0000 0.0000 0.0000  4 P 2.70
P1 0.5000 0.5000 0.0000  2 Os 2.57, 4 Sc 2.70
Os1 0.5000 0.5000 0.5000  4 O 1.91
O1 0.0000 0.5000 0.5000  2 Os 1.91
O2 0.5000 0.0000 0.5000  2 Os 1.91

Output
As for the offset from the most stable computed form: 0.0000 eV/atom. Its symmetry is P4/mmm (123).



[3]
InMoP2 | GGA-PBE | relaxed

Cell: 8.3706 8.3706 8.3706 Å, 22.41 22.41 22.41°
Last column: nearest neighbours and their distance in Å.
Atoms (fractional coordinates):
In1 0.0000 0.0000 0.0000  6 P 3.12, 6 In 3.25
Mo1 0.5000 0.5000 0.5000  6 P 2.46
P1 0.2315 0.2315 0.2315  3 Mo 2.46
P2 0.7685 0.7685 0.7685  3 Mo 2.46

Output
The energy of formation is -36.9 kJ/mol of formula units. Its symmetry is R-3m (166).



[4]
BaNp2SeS5 | GGA-PBE | relaxed

Cell: 9.8562 9.8562 9.8562 Å, 136.59 136.59 63.07°
Last column: nearest neighbours and their distance in Å.
Atoms (fractional coordinates):
Ba1 0.2500 0.2500 0.0000  4 Se 3.65, 8 S 3.72
Ba2 0.7500 0.7500 0.0000  4 Se 3.65, 8 S 3.72
Np1 0.1585 0.6585 0.8171  8 S 2.63-2.83
Np2 0.3415 0.1585 0.5000  8 S 2.63-2.83
Np3 0.6585 0.8415 0.5000  8 S 2.63-2.83
Np4 0.8415 0.3415 0.1829  8 S 2.63-2.83
Se1 0.2500 0.7500 0.5000  4 S 2.91
Se2 0.7500 0.2500 0.5000  4 S 2.91
S1 0.0000 0.0000 0.0000  4 Np 2.74
S2 0.0460 0.2483 0.5000  3 Np 2.63-2.83, 1 Se 2.91
S3 0.2483 0.7483 0.2023  3 Np 2.63-2.83, 1 Se 2.91
S4 0.2517 0.4540 0.5000  3 Np 2.63-2.83, 1 Se 2.91
S5 0.4540 0.9540 0.2023  3 Np 2.63-2.83, 1 Se 2.91
S6 0.5000 0.5000 0.0000  4 Np 2.74
S7 0.5460 0.0460 0.7977  3 Np 2.63-2.83, 1 Se 2.91
S8 0.7483 0.5460 0.5000  3 Np 2.63-2.83, 1 Se 2.91
S9 0.7517 0.2517 0.7977  3 Np 2.63-2.83, 1 Se 2.91
S10 0.9540 0.7517 0.5000  3 Np 2.63-2.83, 1 Se 2.91

Output
The raw total energy comes out at -6.9271 eV per atom. Its symmetry is I4/mcm (140).



[5]
RbCu2SiW | GGA-PBE | relaxed

Cell: 4.6066 4.6066 5.2088 Å, 90.00 90.00 90.00°
Last column: nearest neighbours and their distance in Å.
Atoms (fractional coordinates):
Rb1 0.0000 0.0000 0.0000  4 Cu 2.30
Cu1 0.0000 0.5000 0.0000  2 Rb 2.30
Cu2 0.5000 0.0000 0.0000  2 Rb 2.30
Si1 0.0000 0.0000 0.5000  2 Rb 2.60
W1 0.5000 0.5000 0.5000  4 Si 3.26, 8 Cu 3.48

Output
The raw total energy comes out at -2.6525 eV per atom. Its symmetry is P4/mmm (123).



[6]
Na2GeF6 | GGA-PBE | relaxed

Cell: 9.5496 9.5496 4.6578 Å, 90.00 90.00 120.00°
Last column: nearest neighbours and their distance in Å.
Atoms (fractional coordinates):
Na1 0.0000 0.3430 0.0000  6 F 2.32-2.38
Na2 0.0000 0.6570 0.0000  6 F 2.32-2.38
Na3 0.3430 0.0000 0.0000  6 F 2.32-2.38
Na4 0.3430 0.3430 0.0000  6 F 2.32-2.38
Na5 0.6570 0.0000 0.0000  6 F 2.32-2.38
Na6 0.6570 0.6570 0.0000  6 F 2.32-2.38
Ge1 0.0000 0.0000 0.0000  6 F 1.84
Ge2 0.3333 0.6667 0.5005  6 F 1.84
Ge3 0.6667 0.3333 0.4995  6 F 1.84
F1 0.0931 0.1862 0.2149  1 Ge 1.84
F2 0.0931 0.9069 0.2149  1 Ge 1.84
F3 0.1502 0.5751 0.2749  1 Ge 1.84
F4 0.1862 0.0931 0.7851  1 Ge 1.84
F5 0.2418 0.4836 0.7241  1 Ge 1.84
F6 0.2418 0.7582 0.7241  1 Ge 1.84
F7 0.4249 0.5751 0.2749  1 Ge 1.84
F8 0.4249 0.8498 0.2749  1 Ge 1.84
F9 0.4836 0.2418 0.2759  1 Ge 1.84
F10 0.5164 0.7582 0.7241  1 Ge 1.84
F11 0.5751 0.1502 0.7251  1 Ge 1.84
F12 0.5751 0.4249 0.7251  1 Ge 1.84
F13 0.7582 0.2418 0.2759  1 Ge 1.84
F14 0.7582 0.5164 0.2759  1 Ge 1.84
F15 0.8138 0.9069 0.2149  1 Ge 1.84
F16 0.8498 0.4249 0.7251  1 Ge 1.84
F17 0.9069 0.0931 0.7851  1 Ge 1.84
F18 0.9069 0.8138 0.7851  1 Ge 1.84

Output
As for the offset from the most stable computed form: 0.0508 eV/atom. Its symmetry is P-3m1 (164).



[7]
BaPmHgPd | GGA-PBE | relaxed

Cell: 5.4755 5.4755 5.4755 Å, 60.00 60.00 60.00°
Last column: nearest neighbours and their distance in Å.
Atoms (fractional coordinates):
Ba1 0.0000 0.0000 0.0000  4 Hg 3.35, 4 Pd 3.35
Pm1 0.5000 0.5000 0.5000  4 Hg 3.35, 4 Pd 3.35
Hg1 0.7500 0.7500 0.7500  4 Ba 3.35, 4 Pm 3.35
Pd1 0.2500 0.2500 0.2500  4 Pm 3.35, 4 Ba 3.35

Output
The energy of formation is -151.9 kJ/mol of formula units. Its symmetry is F-43m (216).



[8]
BeCuSe2 | GGA-PBE | relaxed

Cell: 3.5013 3.5013 7.3141 Å, 90.00 90.00 111.06°
Last column: nearest neighbours and their distance in Å.
Atoms (fractional coordinates):
Be1 0.0000 0.0000 0.0000  3 Se 2.29-2.44, 2 Cu 2.33
Cu1 0.5000 0.5000 0.8331  3 Se 2.33-2.36, 2 Be 2.33
Se1 0.0000 0.0000 0.6668  2 Cu 2.33, 1 Be 2.44
Se2 0.5000 0.5000 0.1562  2 Be 2.29, 1 Cu 2.36

Output
The raw total energy comes out at -3.7865 eV per atom. Its symmetry is Cmm2 (35).